# 1
A plane-wave DFT calculation with PBE-GGA was carried out for a relaxed structure of TbPr2Sm4Dy2.

Output
Formation energy, eV per atom: 0.015
Magnetic moment, μB per formula unit: 0.00

Lattice parameters (Å, degrees): 6.262 6.272 8.104 82.66 75.10 80.40
Space group P-1 (No. 2)
One atom of each set of equivalent atoms:
Tb1 0.000 0.000 0.000 [1 per cell]
Pr1 0.332 0.668 0.667 [2 per cell]
Sm1 0.222 0.446 0.112 [2 per cell]
Sm2 0.444 0.890 0.222 [2 per cell]
Dy1 0.109 0.223 0.556 [2 per cell]

---

# 2
A plane-wave DFT calculation with PBE-GGA was carried out for a relaxed structure of Tb4PrSm2Dy2.

Output
Formation energy, eV per atom: 0.018
Magnetic moment, μB per formula unit: 0.00

Lattice parameters (Å, degrees): 15.229 5.076 8.014 90.00 108.49 90.00
Space group C2/m (No. 12)
One atom of each set of equivalent atoms:
Tb1 0.056 0.000 0.334 [4 per cell]
Tb2 0.222 0.500 0.333 [4 per cell]
Pr1 0.000 0.500 0.000 [2 per cell]
Sm1 0.111 0.500 0.665 [4 per cell]
Dy1 0.168 0.000 0.000 [4 per cell]

---

- Which of these has the lowest formation energy?
  TbPr2Sm4Dy2

---

- Which formula does entry 2 have?
  Tb4PrSm2Dy2

---

Copy entry 2 word for word.
A plane-wave DFT calculation with PBE-GGA was carried out for a relaxed structure of Tb4PrSm2Dy2.

Output
Formation energy, eV per atom: 0.018
Magnetic moment, μB per formula unit: 0.00

Lattice parameters (Å, degrees): 15.229 5.076 8.014 90.00 108.49 90.00
Space group C2/m (No. 12)
One atom of each set of equivalent atoms:
Tb1 0.056 0.000 0.334 [4 per cell]
Tb2 0.222 0.500 0.333 [4 per cell]
Pr1 0.000 0.500 0.000 [2 per cell]
Sm1 0.111 0.500 0.665 [4 per cell]
Dy1 0.168 0.000 0.000 [4 per cell]

---

- Look up the magnetic moment of the second one.
  0.00 μB per formula unit